Record 1
Computed, not measured: a relaxed structure of PrCd4Pb at the PBE-GGA level of DFT.

Lattice parameters (Å, degrees): 9.611 9.611 5.151 90.00 90.00 139.37
Atoms (fractional coordinates):
Pr  0.121  0.879  0.750
Pr  0.879  0.121  0.250
Cd  0.037  0.456  0.750
Cd  0.201  0.287  0.750
Cd  0.287  0.201  0.250
Cd  0.456  0.037  0.250
Cd  0.544  0.963  0.750
Cd  0.713  0.799  0.750
Cd  0.799  0.713  0.250
Cd  0.963  0.544  0.250
Pb  0.378  0.622  0.250
Pb  0.622  0.378  0.750

crystal system: orthorhombic
N(E_F): 0.300 states/eV per atom



Record 2
Computed, not measured: a relaxed structure of PrCdPb2 at the PBE-GGA level of DFT.

Lattice parameters (Å, degrees): 5.489 5.489 5.489 60.00 60.00 60.00
Atoms (fractional coordinates):
Pr  0.000  0.000  0.000
Cd  0.500  0.500  0.500
Pb  0.250  0.250  0.250
Pb  0.750  0.750  0.750

crystal system: cubic
N(E_F): 1.021 states/eV per atom



Record 3
Computed, not measured: a relaxed structure of Pr2Cd6Pb at the PBE-GGA level of DFT.

Lattice parameters (Å, degrees): 8.831 8.831 3.529 90.00 90.00 120.00
Atoms (fractional coordinates):
Pr  0.333  0.667  0.000
Pr  0.667  0.333  0.000
Cd  0.000  0.331  0.500
Cd  0.000  0.669  0.500
Cd  0.331  0.000  0.500
Cd  0.331  0.331  0.500
Cd  0.669  0.000  0.500
Cd  0.669  0.669  0.500
Pb  0.000  0.000  0.000

crystal system: hexagonal
N(E_F): 0.714 states/eV per atom



Record 4
Computed, not measured: a relaxed structure of PrCdPb3 at the PBE-GGA level of DFT.

Lattice parameters (Å, degrees): 5.529 6.639 8.740 90.00 90.00 90.00
Atoms (fractional coordinates):
Pr  0.250  0.250  0.121
Pr  0.750  0.750  0.879
Cd  0.250  0.750  0.430
Cd  0.750  0.250  0.570
Pb  0.250  0.008  0.726
Pb  0.250  0.492  0.726
Pb  0.250  0.750  0.086
Pb  0.750  0.250  0.914
Pb  0.750  0.508  0.274
Pb  0.750  0.992  0.274

crystal system: orthorhombic
N(E_F): 0.497 states/eV per atom



Record 5
Computed, not measured: a relaxed structure of Pr5Cd4Pb at the PBE-GGA level of DFT.

Lattice parameters (Å, degrees): 3.852 3.852 19.994 90.00 90.00 90.00
Atoms (fractional coordinates):
Pr  0.000  0.000  0.000
Pr  0.000  0.000  0.197
Pr  0.000  0.000  0.394
Pr  0.000  0.000  0.606
Pr  0.000  0.000  0.803
Cd  0.500  0.500  0.099
Cd  0.500  0.500  0.293
Cd  0.500  0.500  0.707
Cd  0.500  0.500  0.901
Pb  0.500  0.500  0.500

crystal system: tetragonal
N(E_F): 1.199 states/eV per atom



Record 6
Computed, not measured: a relaxed structure of PrCdPb4 at the PBE-GGA level of DFT.

Lattice parameters (Å, degrees): 6.460 6.460 6.460 60.00 60.00 60.00
Atoms (fractional coordinates):
Pr  0.000  0.000  0.000
Cd  0.750  0.750  0.750
Pb  0.374  0.374  0.374
Pb  0.374  0.374  0.877
Pb  0.374  0.877  0.374
Pb  0.877  0.374  0.374

crystal system: cubic
N(E_F): 0.429 states/eV per atom



| no. | VASP energy (eV/atom) |
| --- | --- |
| 1 | -2.263 |
| 2 | -3.440 |
| 3 | -2.313 |
| 4 | -3.461 |
| 5 | -3.485 |
| 6 | -3.492 |